YTi3Tl | PBE-GGA | relaxed

Cell: 5.1475 5.1475 5.1475 Å, 90.00 90.00 90.00°
With the nearest neighbours (Å) after each atom.
Fractional coordinates of all 5 atoms:
Tl1 0.0000 0.0000 0.0000  6 Ti 2.57
Ti1 0.0000 0.5000 0.0000  2 Tl 2.57
Ti2 0.0000 0.0000 0.5000  2 Tl 2.57
Ti3 0.5000 0.0000 0.0000  2 Tl 2.57
Y1 0.5000 0.5000 0.5000  12 Ti 3.64

Size of the total moment = 4.09 μB/f.u.
Density = 5.319 g cm⁻³
Formation energy = 0.9933 eV per atom
Polymorph energy (0 for the lowest one) = 0 meV/atom


LaNdHoPu | PBE-GGA | relaxed

Cell: 5.7062 5.7062 5.7062 Å, 60.00 60.00 60.00°
With the nearest neighbours (Å) after each atom.
Fractional coordinates of all 4 atoms:
Nd1 0.7500 0.7500 0.7500  4 Pu 3.49, 4 Ho 3.49
Ho1 0.5000 0.5000 0.5000  4 Nd 3.49, 4 La 3.49
Pu1 0.0000 0.0000 0.0000  4 La 3.49, 4 Nd 3.49
La1 0.2500 0.2500 0.2500  4 Ho 3.49, 4 Pu 3.49

Size of the total moment = 7.69 μB/f.u.
Density = 8.747 g cm⁻³
Formation energy = 0.2074 eV per atom


NdZrAgPd | PBE-GGA | relaxed

Cell: 5.0111 5.0111 5.0111 Å, 60.00 60.00 60.00°
With the nearest neighbours (Å) after each atom.
Fractional coordinates of all 4 atoms:
Zr1 0.0000 0.0000 0.0000  4 Ag 3.07, 4 Pd 3.07
Nd1 0.5000 0.5000 0.5000  4 Pd 3.07, 4 Ag 3.07
Ag1 0.2500 0.2500 0.2500  4 Zr 3.07, 4 Nd 3.07
Pd1 0.7500 0.7500 0.7500  4 Nd 3.07, 4 Zr 3.07

Size of the total moment = 0.00 μB/f.u.
Density = 8.393 g cm⁻³
Formation energy = -0.2657 eV per atom


PmGd2Cu | PBE-GGA | relaxed

Cell: 3.6622 3.6622 10.2138 Å, 79.67 79.67 60.00°
With the nearest neighbours (Å) after each atom.
Fractional coordinates of all 4 atoms:
Cu1 0.0000 0.0000 0.0000  6 Gd 2.92
Pm1 0.5000 0.5000 0.5000  6 Gd 3.66, 6 Pm 3.66
Gd1 0.2664 0.2664 0.2009  3 Cu 2.92
Gd2 0.7336 0.7336 0.7991  3 Cu 2.92

Size of the total moment = 15.09 μB/f.u.
Density = 7.483 g cm⁻³
Formation energy = 0.0347 eV per atom
Polymorph energy (0 for the lowest one) = 119 meV/atom